1) # MgNb3Au, optimized geometry, DFT PBE
# Crystal system: cubic
# Symmetry: Pm-3m, No. 221
data_MgNb3Au
_cell_length_a 4.7082
_cell_length_b 4.7082
_cell_length_c 4.7082
_cell_angle_alpha 90.00
_cell_angle_beta 90.00
_cell_angle_gamma 90.00
_space_group_name_H-M_alt 'P 1'
_space_group_IT_number 1
loop_
_space_group_symop_operation_xyz
'x,y,z'
loop_
_atom_site_label
_atom_site_fract_x
_atom_site_fract_y
_atom_site_fract_z
Mg1 0.0000 0.0000 0.0000
Nb1 0.0000 0.0000 0.5000
Nb2 0.0000 0.5000 0.0000
Nb3 0.5000 0.0000 0.0000
Au1 0.5000 0.5000 0.5000



2) # MgNb3Au, optimized geometry, DFT PBE
# Crystal system: cubic
# Symmetry: Pm-3m, No. 221
data_MgNb3Au
_cell_length_a 5.0065
_cell_length_b 5.0065
_cell_length_c 5.0065
_cell_angle_alpha 90.00
_cell_angle_beta 90.00
_cell_angle_gamma 90.00
_space_group_name_H-M_alt 'P 1'
_space_group_IT_number 1
loop_
_space_group_symop_operation_xyz
'x,y,z'
loop_
_atom_site_label
_atom_site_fract_x
_atom_site_fract_y
_atom_site_fract_z
Mg1 0.0000 0.0000 0.0000
Nb1 0.0000 0.5000 0.5000
Nb2 0.5000 0.0000 0.5000
Nb3 0.5000 0.5000 0.0000
Au1 0.5000 0.5000 0.5000



Which one sits at the bottom of the stability order? 1) does.



1) # Nd2MgAu, optimized geometry, DFT PBE
# Crystal system: tetragonal
# Symmetry: P4/mmm, No. 123
data_Nd2MgAu
_cell_length_a 3.8210
_cell_length_b 3.8210
_cell_length_c 7.4551
_cell_angle_alpha 90.00
_cell_angle_beta 90.00
_cell_angle_gamma 90.00
_space_group_name_H-M_alt 'P 1'
_space_group_IT_number 1
loop_
_space_group_symop_operation_xyz
'x,y,z'
loop_
_atom_site_label
_atom_site_fract_x
_atom_site_fract_y
_atom_site_fract_z
Nd1 0.0000 0.0000 0.2361
Nd2 0.0000 0.0000 0.7639
Mg1 0.5000 0.5000 0.5000
Au1 0.5000 0.5000 0.0000



2) # Nd2MgAu, optimized geometry, DFT PBE
# Crystal system: trigonal
# Symmetry: R-3m, No. 166
data_Nd2MgAu
_cell_length_a 9.6376
_cell_length_b 9.6376
_cell_length_c 9.6376
_cell_angle_alpha 23.36
_cell_angle_beta 23.36
_cell_angle_gamma 23.36
_space_group_name_H-M_alt 'P 1'
_space_group_IT_number 1
loop_
_space_group_symop_operation_xyz
'x,y,z'
loop_
_atom_site_label
_atom_site_fract_x
_atom_site_fract_y
_atom_site_fract_z
Nd1 0.2393 0.2393 0.2393
Nd2 0.7607 0.7607 0.7607
Mg1 0.0000 0.0000 0.0000
Au1 0.5000 0.5000 0.5000



Which one sits at the bottom of the stability order? 2) does.



1) # Nd3MgAu4, optimized geometry, DFT PBE
# Crystal system: trigonal
# Symmetry: R-3m, No. 166
data_Nd3MgAu4
_cell_length_a 8.9157
_cell_length_b 8.9157
_cell_length_c 8.9157
_cell_angle_alpha 33.65
_cell_angle_beta 33.65
_cell_angle_gamma 33.65
_space_group_name_H-M_alt 'P 1'
_space_group_IT_number 1
loop_
_space_group_symop_operation_xyz
'x,y,z'
loop_
_atom_site_label
_atom_site_fract_x
_atom_site_fract_y
_atom_site_fract_z
Nd1 0.0000 0.0000 0.0000
Nd2 0.2430 0.2430 0.2430
Nd3 0.7570 0.7570 0.7570
Mg1 0.5000 0.5000 0.5000
Au1 0.1217 0.1217 0.1217
Au2 0.3762 0.3762 0.3762
Au3 0.6238 0.6238 0.6238
Au4 0.8783 0.8783 0.8783



2) # Nd3MgAu4, optimized geometry, DFT PBE
# Crystal system: orthorhombic
# Symmetry: Immm, No. 71
data_Nd3MgAu4
_cell_length_a 8.5573
_cell_length_b 8.5573
_cell_length_c 8.5573
_cell_angle_alpha 152.66
_cell_angle_beta 131.51
_cell_angle_gamma 56.56
_space_group_name_H-M_alt 'P 1'
_space_group_IT_number 1
loop_
_space_group_symop_operation_xyz
'x,y,z'
loop_
_atom_site_label
_atom_site_fract_x
_atom_site_fract_y
_atom_site_fract_z
Nd1 0.0000 0.0000 0.0000
Nd2 0.3023 0.8023 0.5000
Nd3 0.6977 0.1977 0.5000
Mg1 0.5000 0.5000 0.0000
Au1 0.0843 0.3761 0.7082
Au2 0.3321 0.6239 0.7082
Au3 0.6679 0.3761 0.2918
Au4 0.9157 0.6239 0.2918



Which one sits at the bottom of the stability order? 2) does.



1) # NdMg3Au3, optimized geometry, DFT PBE
# Crystal system: hexagonal
# Symmetry: P6_3/m, No. 176
data_NdMg3Au3
_cell_length_a 8.7674
_cell_length_b 8.7674
_cell_length_c 4.6443
_cell_angle_alpha 90.00
_cell_angle_beta 90.00
_cell_angle_gamma 120.00
_space_group_name_H-M_alt 'P 1'
_space_group_IT_number 1
loop_
_space_group_symop_operation_xyz
'x,y,z'
loop_
_atom_site_label
_atom_site_fract_x
_atom_site_fract_y
_atom_site_fract_z
Nd1 0.3333 0.6667 0.2500
Nd2 0.6667 0.3333 0.7500
Mg1 0.0208 0.7638 0.7500
Mg2 0.2362 0.2570 0.7500
Mg3 0.2570 0.0208 0.2500
Mg4 0.7430 0.9792 0.7500
Mg5 0.7638 0.7430 0.2500
Mg6 0.9792 0.2362 0.2500
Au1 0.0610 0.4391 0.7500
Au2 0.3781 0.9390 0.7500
Au3 0.4391 0.3781 0.2500
Au4 0.5609 0.6219 0.7500
Au5 0.6219 0.0610 0.2500
Au6 0.9390 0.5609 0.2500



2) # NdMg3Au3, optimized geometry, DFT PBE
# Crystal system: cubic
# Symmetry: Pm-3n, No. 223
data_NdMg3Au3
_cell_length_a 7.2221
_cell_length_b 7.2221
_cell_length_c 7.2221
_cell_angle_alpha 90.00
_cell_angle_beta 90.00
_cell_angle_gamma 90.00
_space_group_name_H-M_alt 'P 1'
_space_group_IT_number 1
loop_
_space_group_symop_operation_xyz
'x,y,z'
loop_
_atom_site_label
_atom_site_fract_x
_atom_site_fract_y
_atom_site_fract_z
Nd1 0.0000 0.0000 0.0000
Nd2 0.5000 0.5000 0.5000
Mg1 0.0000 0.2500 0.5000
Mg2 0.0000 0.7500 0.5000
Mg3 0.2500 0.5000 0.0000
Mg4 0.5000 0.0000 0.2500
Mg5 0.5000 0.0000 0.7500
Mg6 0.7500 0.5000 0.0000
Au1 0.0000 0.5000 0.2500
Au2 0.0000 0.5000 0.7500
Au3 0.2500 0.0000 0.5000
Au4 0.5000 0.2500 0.0000
Au5 0.5000 0.7500 0.0000
Au6 0.7500 0.0000 0.5000



Which one sits at the bottom of the stability order? 2) does.



1) # NdMg2Au2, optimized geometry, DFT PBE
# Crystal system: tetragonal
# Symmetry: I4/mmm, No. 139
data_NdMg2Au2
_cell_length_a 7.1307
_cell_length_b 7.1307
_cell_length_c 7.1307
_cell_angle_alpha 145.92
_cell_angle_beta 145.92
_cell_angle_gamma 48.96
_space_group_name_H-M_alt 'P 1'
_space_group_IT_number 1
loop_
_space_group_symop_operation_xyz
'x,y,z'
loop_
_atom_site_label
_atom_site_fract_x
_atom_site_fract_y
_atom_site_fract_z
Nd1 0.0000 0.0000 0.0000
Mg1 0.2500 0.7500 0.5000
Mg2 0.7500 0.2500 0.5000
Au1 0.3911 0.3911 0.0000
Au2 0.6089 0.6089 0.0000



2) # NdMg2Au2, optimized geometry, DFT PBE
# Crystal system: tetragonal
# Symmetry: P4/mmm, No. 123
data_NdMg2Au2
_cell_length_a 4.1985
_cell_length_b 4.1985
_cell_length_c 6.4794
_cell_angle_alpha 90.00
_cell_angle_beta 90.00
_cell_angle_gamma 90.00
_space_group_name_H-M_alt 'P 1'
_space_group_IT_number 1
loop_
_space_group_symop_operation_xyz
'x,y,z'
loop_
_atom_site_label
_atom_site_fract_x
_atom_site_fract_y
_atom_site_fract_z
Nd1 0.0000 0.0000 0.0000
Mg1 0.0000 0.5000 0.5000
Mg2 0.5000 0.0000 0.5000
Au1 0.5000 0.5000 0.2152
Au2 0.5000 0.5000 0.7848



Which one sits at the bottom of the stability order? 2) does.



1) # Nd2Mg3Au2, optimized geometry, DFT PBE
# Crystal system: monoclinic
# Symmetry: C2/m, No. 12
data_Nd2Mg3Au2
_cell_length_a 5.8093
_cell_length_b 5.8093
_cell_length_c 7.5096
_cell_angle_alpha 95.08
_cell_angle_beta 95.08
_cell_angle_gamma 43.95
_space_group_name_H-M_alt 'P 1'
_space_group_IT_number 1
loop_
_space_group_symop_operation_xyz
'x,y,z'
loop_
_atom_site_label
_atom_site_fract_x
_atom_site_fract_y
_atom_site_fract_z
Nd1 0.1235 0.1235 0.3494
Nd2 0.8765 0.8765 0.6506
Mg1 0.1833 0.1833 0.8676
Mg2 0.5000 0.5000 0.0000
Mg3 0.8167 0.8167 0.1324
Au1 0.4063 0.4063 0.3421
Au2 0.5937 0.5937 0.6579



2) # Nd2Mg3Au2, optimized geometry, DFT PBE
# Crystal system: monoclinic
# Symmetry: C2/m, No. 12
data_Nd2Mg3Au2
_cell_length_a 5.6962
_cell_length_b 5.6962
_cell_length_c 7.6319
_cell_angle_alpha 110.11
_cell_angle_beta 110.11
_cell_angle_gamma 47.80
_space_group_name_H-M_alt 'P 1'
_space_group_IT_number 1
loop_
_space_group_symop_operation_xyz
'x,y,z'
loop_
_atom_site_label
_atom_site_fract_x
_atom_site_fract_y
_atom_site_fract_z
Nd1 0.1378 0.1378 0.2840
Nd2 0.8622 0.8622 0.7160
Mg1 0.3702 0.3702 0.0639
Mg2 0.5000 0.5000 0.5000
Mg3 0.6298 0.6298 0.9361
Au1 0.1563 0.1563 0.7097
Au2 0.8437 0.8437 0.2903



Which one sits at the bottom of the stability order? 1) does.